[1]
Below is an optimized crystal structure of InMo6Se4S4, with properties calculated at the PBEsol level.

a = 6.5762 Å, b = 6.5893 Å, c = 6.6607 Å
α = 94.93°, β = 90.18°, γ = 91.70°
Space group P1 (No. 1)
Asymmetric unit:
In  0.0000  0.0000  0.0000 (multiplicity 1)
Mo  0.1945  0.3867  0.6235 (multiplicity 1)
Mo  0.3777  0.5139  0.2994 (multiplicity 1)
Mo  0.4087  0.7438  0.6575 (multiplicity 1)
Mo  0.5176  0.1962  0.4779 (multiplicity 1)
Mo  0.5431  0.4208  0.8399 (multiplicity 1)
Mo  0.7405  0.5555  0.5182 (multiplicity 1)
Se  0.2116  0.6067  0.9584 (multiplicity 1)
Se  0.5978  0.8335  0.3276 (multiplicity 1)
Se  0.7146  0.3334  0.1854 (multiplicity 1)
Se  0.8377  0.2219  0.6897 (multiplicity 1)
S  0.0966  0.6881  0.4629 (multiplicity 1)
S  0.2013  0.1910  0.3028 (multiplicity 1)
S  0.3397  0.1083  0.7910 (multiplicity 1)
S  0.7192  0.7408  0.8418 (multiplicity 1)

Output
Formation energy without anion corrections   -0.6304 eV per atom
VASP energy   -7.73 eV per atom

[2]
Below is an optimized crystal structure of RbOsO2F, with properties calculated at the PBEsol level.

a = 4.3323 Å, b = 4.3323 Å, c = 4.6139 Å
α = 90.00°, β = 90.00°, γ = 90.00°
Space group P4/mmm (No. 123)
Asymmetric unit:
Rb  0.0000  0.0000  0.0000 (multiplicity 1)
Os  0.5000  0.5000  0.5000 (multiplicity 1)
O  0.0000  0.5000  0.0000 (multiplicity 2)
F  0.0000  0.0000  0.5000 (multiplicity 1)

Output
Formation energy without anion corrections   1.5616 eV per atom
VASP energy   -3.57 eV per atom

[3]
Below is an optimized crystal structure of CdSn3P, with properties calculated at the PBEsol level.

a = 5.3194 Å, b = 5.3194 Å, c = 5.3194 Å
α = 90.00°, β = 90.00°, γ = 90.00°
Space group Pm-3m (No. 221)
Asymmetric unit:
Cd  0.0000  0.0000  0.0000 (multiplicity 1)
Sn  0.0000  0.0000  0.5000 (multiplicity 3)
P  0.5000  0.5000  0.5000 (multiplicity 1)

Output
VASP energy   -3.07 eV per atom
Formation enthalpy at 0 K   0.89 eV/atom

[4]
Below is an optimized crystal structure of CoNiP3, with properties calculated at the PBEsol level.

a = 4.2568 Å, b = 4.2568 Å, c = 4.2568 Å
α = 90.00°, β = 90.00°, γ = 90.00°
Space group Pm-3m (No. 221)
Asymmetric unit:
Co  0.0000  0.0000  0.0000 (multiplicity 1)
Ni  0.5000  0.5000  0.5000 (multiplicity 1)
P  0.0000  0.5000  0.5000 (multiplicity 3)

Output
VASP energy   -5.36 eV per atom
Formation enthalpy at 0 K   0.89 eV/atom